Record 1
A geometry-optimized FeBiPb structure. Source: OQMD via LeMat-Bulk, functional GGA-PBE.

Electronic total energy in eV per atom: -4.4325

Cell lengths 6.9659, 6.9659, 6.9659 Å; angles 90.00, 90.00, 90.00 degrees
Closest atoms and distances in Å follow each position.
Sites, in units of the cell vectors:
Fe: 0.0000 0.0000 0.0000  4 Pb 3.02
Fe: 0.0000 0.5000 0.5000  4 Pb 3.02
Fe: 0.5000 0.0000 0.5000  4 Pb 3.02
Fe: 0.5000 0.5000 0.0000  4 Pb 3.02
Bi: 0.0000 0.0000 0.5000  4 Pb 3.02
Bi: 0.0000 0.5000 0.0000  4 Pb 3.02
Bi: 0.5000 0.0000 0.0000  4 Pb 3.02
Bi: 0.5000 0.5000 0.5000  4 Pb 3.02
Pb: 0.2500 0.2500 0.7500  4 Fe 3.02, 4 Bi 3.02
Pb: 0.2500 0.7500 0.2500  4 Fe 3.02, 4 Bi 3.02
Pb: 0.7500 0.2500 0.2500  4 Fe 3.02, 4 Bi 3.02
Pb: 0.7500 0.7500 0.7500  4 Fe 3.02, 4 Bi 3.02

Record 2
A geometry-optimized Fe2BiPb structure. Source: OQMD via LeMat-Bulk, functional GGA-PBE.

Electronic total energy in eV per atom: -5.3908

Cell lengths 6.5552, 6.5552, 6.5552 Å; angles 90.00, 90.00, 90.00 degrees
Closest atoms and distances in Å follow each position.
Sites, in units of the cell vectors:
Fe: 0.2482 0.2482 0.2482  4 Pb 2.82-2.83, 4 Bi 2.85-2.86
Fe: 0.2482 0.2482 0.7518  4 Pb 2.82-2.83, 4 Bi 2.85-2.86
Fe: 0.2482 0.7518 0.2482  4 Pb 2.82-2.83, 4 Bi 2.85-2.86
Fe: 0.2482 0.7518 0.7518  4 Pb 2.82-2.83, 4 Bi 2.85-2.86
Fe: 0.7518 0.2482 0.2482  4 Pb 2.82-2.83, 4 Bi 2.85-2.86
Fe: 0.7518 0.2482 0.7518  4 Pb 2.82-2.83, 4 Bi 2.85-2.86
Fe: 0.7518 0.7518 0.2482  4 Pb 2.82-2.83, 4 Bi 2.85-2.86
Fe: 0.7518 0.7518 0.7518  4 Pb 2.82-2.83, 4 Bi 2.85-2.86
Bi: 0.0000 0.5000 0.5000  8 Fe 2.85
Bi: 0.5000 0.0000 0.5000  8 Fe 2.85
Bi: 0.5000 0.5000 0.0000  8 Fe 2.85
Bi: 0.5000 0.5000 0.5000  8 Fe 2.86
Pb: 0.0000 0.0000 0.0000  8 Fe 2.82
Pb: 0.0000 0.0000 0.5000  8 Fe 2.83
Pb: 0.0000 0.5000 0.0000  8 Fe 2.83
Pb: 0.5000 0.0000 0.0000  8 Fe 2.83

Record 3
A geometry-optimized FeBiPd2 structure. Source: OQMD via LeMat-Bulk, functional GGA-PBE.

Electronic total energy in eV per atom: -5.6561

Cell lengths 6.5066, 6.5066, 6.5066 Å; angles 90.00, 90.00, 90.00 degrees
Closest atoms and distances in Å follow each position.
Sites, in units of the cell vectors:
Fe: 0.0000 0.0000 0.0000  4 Bi 2.82, 4 Pd 2.82
Fe: 0.0000 0.5000 0.5000  4 Bi 2.82, 4 Pd 2.82
Fe: 0.5000 0.0000 0.5000  4 Bi 2.82, 4 Pd 2.82
Fe: 0.5000 0.5000 0.0000  4 Bi 2.82, 4 Pd 2.82
Bi: 0.2500 0.2500 0.7500  4 Fe 2.82, 4 Pd 2.82
Bi: 0.2500 0.7500 0.2500  4 Fe 2.82, 4 Pd 2.82
Bi: 0.7500 0.2500 0.2500  4 Fe 2.82, 4 Pd 2.82
Bi: 0.7500 0.7500 0.7500  4 Fe 2.82, 4 Pd 2.82
Pd: 0.0000 0.0000 0.5000  4 Bi 2.82, 4 Pd 2.82
Pd: 0.0000 0.5000 0.0000  4 Bi 2.82, 4 Pd 2.82
Pd: 0.2500 0.2500 0.2500  4 Pd 2.82, 4 Fe 2.82
Pd: 0.2500 0.7500 0.7500  4 Fe 2.82, 4 Pd 2.82
Pd: 0.5000 0.0000 0.0000  4 Bi 2.82, 4 Pd 2.82
Pd: 0.5000 0.5000 0.5000  4 Bi 2.82, 4 Pd 2.82
Pd: 0.7500 0.2500 0.7500  4 Fe 2.82, 4 Pd 2.82
Pd: 0.7500 0.7500 0.2500  4 Fe 2.82, 4 Pd 2.82

Record 4
A geometry-optimized FeBiPdPt structure. Source: OQMD via LeMat-Bulk, functional GGA-PBE.

Distance to the lowest polymorph of the same formula in eV per formula unit: 0.00
Electronic total energy in eV per atom: -5.8479

Cell lengths 6.5239, 6.5239, 6.5239 Å; angles 90.00, 90.00, 90.00 degrees
Closest atoms and distances in Å follow each position.
Sites, in units of the cell vectors:
Fe: 0.0000 0.0000 0.0000  4 Bi 2.82, 4 Pt 2.82
Fe: 0.0000 0.5000 0.5000  4 Bi 2.82, 4 Pt 2.82
Fe: 0.5000 0.0000 0.5000  4 Bi 2.82, 4 Pt 2.82
Fe: 0.5000 0.5000 0.0000  4 Bi 2.82, 4 Pt 2.82
Bi: 0.2500 0.2500 0.7500  4 Pd 2.82, 4 Fe 2.82
Bi: 0.2500 0.7500 0.2500  4 Pd 2.82, 4 Fe 2.82
Bi: 0.7500 0.2500 0.2500  4 Pd 2.82, 4 Fe 2.82
Bi: 0.7500 0.7500 0.7500  4 Pd 2.82, 4 Fe 2.82
Pd: 0.0000 0.0000 0.5000  4 Pt 2.82, 4 Bi 2.82
Pd: 0.0000 0.5000 0.0000  4 Pt 2.82, 4 Bi 2.82
Pd: 0.5000 0.0000 0.0000  4 Pt 2.82, 4 Bi 2.82
Pd: 0.5000 0.5000 0.5000  4 Pt 2.82, 4 Bi 2.82
Pt: 0.2500 0.2500 0.2500  4 Fe 2.82, 4 Pd 2.82
Pt: 0.2500 0.7500 0.7500  4 Fe 2.82, 4 Pd 2.82
Pt: 0.7500 0.2500 0.7500  4 Fe 2.82, 4 Pd 2.82
Pt: 0.7500 0.7500 0.2500  4 Fe 2.82, 4 Pd 2.82

Record 5
A geometry-optimized ScFeBiPd structure. Source: OQMD via LeMat-Bulk, functional GGA-PBE.

Distance to the lowest polymorph of the same formula in eV per formula unit: 0.00
Electronic total energy in eV per atom: -6.2024

Cell lengths 6.6099, 6.6099, 6.6099 Å; angles 90.00, 90.00, 90.00 degrees
Closest atoms and distances in Å follow each position.
Sites, in units of the cell vectors:
Sc: 0.0000 0.0000 0.0000  4 Fe 2.86, 4 Pd 2.86
Sc: 0.0000 0.5000 0.5000  4 Fe 2.86, 4 Pd 2.86
Sc: 0.5000 0.0000 0.5000  4 Fe 2.86, 4 Pd 2.86
Sc: 0.5000 0.5000 0.0000  4 Fe 2.86, 4 Pd 2.86
Fe: 0.2500 0.2500 0.7500  4 Bi 2.86, 4 Sc 2.86
Fe: 0.2500 0.7500 0.2500  4 Bi 2.86, 4 Sc 2.86
Fe: 0.7500 0.2500 0.2500  4 Bi 2.86, 4 Sc 2.86
Fe: 0.7500 0.7500 0.7500  4 Bi 2.86, 4 Sc 2.86
Bi: 0.0000 0.0000 0.5000  4 Pd 2.86, 4 Fe 2.86
Bi: 0.0000 0.5000 0.0000  4 Pd 2.86, 4 Fe 2.86
Bi: 0.5000 0.0000 0.0000  4 Pd 2.86, 4 Fe 2.86
Bi: 0.5000 0.5000 0.5000  4 Pd 2.86, 4 Fe 2.86
Pd: 0.2500 0.2500 0.2500  4 Bi 2.86, 4 Sc 2.86
Pd: 0.2500 0.7500 0.7500  4 Bi 2.86, 4 Sc 2.86
Pd: 0.7500 0.2500 0.7500  4 Bi 2.86, 4 Sc 2.86
Pd: 0.7500 0.7500 0.2500  4 Bi 2.86, 4 Sc 2.86

Record 6
A geometry-optimized ScFeBiPd structure. Source: OQMD via LeMat-Bulk, functional GGA-PBE.

Distance to the lowest polymorph of the same formula in eV per formula unit: 0.28
Electronic total energy in eV per atom: -6.1321

Cell lengths 6.6902, 6.6902, 6.6902 Å; angles 90.00, 90.00, 90.00 degrees
Closest atoms and distances in Å follow each position.
Sites, in units of the cell vectors:
Sc: 0.0000 0.0000 0.0000  4 Bi 2.90, 4 Pd 2.90
Sc: 0.0000 0.5000 0.5000  4 Bi 2.90, 4 Pd 2.90
Sc: 0.5000 0.0000 0.5000  4 Bi 2.90, 4 Pd 2.90
Sc: 0.5000 0.5000 0.0000  4 Bi 2.90, 4 Pd 2.90
Fe: 0.0000 0.0000 0.5000  4 Bi 2.90, 4 Pd 2.90
Fe: 0.0000 0.5000 0.0000  4 Bi 2.90, 4 Pd 2.90
Fe: 0.5000 0.0000 0.0000  4 Bi 2.90, 4 Pd 2.90
Fe: 0.5000 0.5000 0.5000  4 Bi 2.90, 4 Pd 2.90
Bi: 0.2500 0.2500 0.2500  4 Fe 2.90, 4 Sc 2.90
Bi: 0.2500 0.7500 0.7500  4 Fe 2.90, 4 Sc 2.90
Bi: 0.7500 0.2500 0.7500  4 Fe 2.90, 4 Sc 2.90
Bi: 0.7500 0.7500 0.2500  4 Fe 2.90, 4 Sc 2.90
Pd: 0.2500 0.2500 0.7500  4 Fe 2.90, 4 Sc 2.90
Pd: 0.2500 0.7500 0.2500  4 Fe 2.90, 4 Sc 2.90
Pd: 0.7500 0.2500 0.2500  4 Fe 2.90, 4 Sc 2.90
Pd: 0.7500 0.7500 0.7500  4 Fe 2.90, 4 Sc 2.90

Record 7
A geometry-optimized TaFeBiPd structure. Source: OQMD via LeMat-Bulk, functional GGA-PBE.

Distance to the lowest polymorph of the same formula in eV per formula unit: 0.00
Electronic total energy in eV per atom: -7.0344

Cell lengths 6.4928, 6.4928, 6.4928 Å; angles 90.00, 90.00, 90.00 degrees
Closest atoms and distances in Å follow each position.
Sites, in units of the cell vectors:
Ta: 0.0000 0.0000 0.0000  4 Pd 2.81, 4 Fe 2.81
Ta: 0.0000 0.5000 0.5000  4 Pd 2.81, 4 Fe 2.81
Ta: 0.5000 0.0000 0.5000  4 Pd 2.81, 4 Fe 2.81
Ta: 0.5000 0.5000 0.0000  4 Pd 2.81, 4 Fe 2.81
Fe: 0.2500 0.2500 0.7500  4 Ta 2.81, 4 Bi 2.81
Fe: 0.2500 0.7500 0.2500  4 Ta 2.81, 4 Bi 2.81
Fe: 0.7500 0.2500 0.2500  4 Ta 2.81, 4 Bi 2.81
Fe: 0.7500 0.7500 0.7500  4 Ta 2.81, 4 Bi 2.81
Bi: 0.0000 0.0000 0.5000  4 Fe 2.81, 4 Pd 2.81
Bi: 0.0000 0.5000 0.0000  4 Fe 2.81, 4 Pd 2.81
Bi: 0.5000 0.0000 0.0000  4 Fe 2.81, 4 Pd 2.81
Bi: 0.5000 0.5000 0.5000  4 Fe 2.81, 4 Pd 2.81
Pd: 0.2500 0.2500 0.2500  4 Bi 2.81, 4 Ta 2.81
Pd: 0.2500 0.7500 0.7500  4 Bi 2.81, 4 Ta 2.81
Pd: 0.7500 0.2500 0.7500  4 Bi 2.81, 4 Ta 2.81
Pd: 0.7500 0.7500 0.2500  4 Ta 2.81, 4 Bi 2.81

Record 8
A geometry-optimized TaFeBiPd structure. Source: OQMD via LeMat-Bulk, functional GGA-PBE.

Distance to the lowest polymorph of the same formula in eV per formula unit: 0.31
Electronic total energy in eV per atom: -6.9569

Cell lengths 6.4908, 6.4908, 6.4908 Å; angles 90.00, 90.00, 90.00 degrees
Closest atoms and distances in Å follow each position.
Sites, in units of the cell vectors:
Ta: 0.0000 0.0000 0.0000  4 Bi 2.81, 4 Pd 2.81
Ta: 0.0000 0.5000 0.5000  4 Bi 2.81, 4 Pd 2.81
Ta: 0.5000 0.0000 0.5000  4 Bi 2.81, 4 Pd 2.81
Ta: 0.5000 0.5000 0.0000  4 Bi 2.81, 4 Pd 2.81
Fe: 0.0000 0.0000 0.5000  4 Pd 2.81, 4 Bi 2.81
Fe: 0.0000 0.5000 0.0000  4 Pd 2.81, 4 Bi 2.81
Fe: 0.5000 0.0000 0.0000  4 Pd 2.81, 4 Bi 2.81
Fe: 0.5000 0.5000 0.5000  4 Pd 2.81, 4 Bi 2.81
Bi: 0.2500 0.2500 0.2500  4 Fe 2.81, 4 Ta 2.81
Bi: 0.2500 0.7500 0.7500  4 Fe 2.81, 4 Ta 2.81
Bi: 0.7500 0.2500 0.7500  4 Fe 2.81, 4 Ta 2.81
Bi: 0.7500 0.7500 0.2500  4 Fe 2.81, 4 Ta 2.81
Pd: 0.2500 0.2500 0.7500  4 Ta 2.81, 4 Fe 2.81
Pd: 0.2500 0.7500 0.2500  4 Ta 2.81, 4 Fe 2.81
Pd: 0.7500 0.2500 0.2500  4 Ta 2.81, 4 Fe 2.81
Pd: 0.7500 0.7500 0.7500  4 Ta 2.81, 4 Fe 2.81

Please write out number 6 again, unchanged.
A geometry-optimized ScFeBiPd structure. Source: OQMD via LeMat-Bulk, functional GGA-PBE.

Distance to the lowest polymorph of the same formula in eV per formula unit: 0.28
Electronic total energy in eV per atom: -6.1321

Cell lengths 6.6902, 6.6902, 6.6902 Å; angles 90.00, 90.00, 90.00 degrees
Closest atoms and distances in Å follow each position.
Sites, in units of the cell vectors:
Sc: 0.0000 0.0000 0.0000  4 Bi 2.90, 4 Pd 2.90
Sc: 0.0000 0.5000 0.5000  4 Bi 2.90, 4 Pd 2.90
Sc: 0.5000 0.0000 0.5000  4 Bi 2.90, 4 Pd 2.90
Sc: 0.5000 0.5000 0.0000  4 Bi 2.90, 4 Pd 2.90
Fe: 0.0000 0.0000 0.5000  4 Bi 2.90, 4 Pd 2.90
Fe: 0.0000 0.5000 0.0000  4 Bi 2.90, 4 Pd 2.90
Fe: 0.5000 0.0000 0.0000  4 Bi 2.90, 4 Pd 2.90
Fe: 0.5000 0.5000 0.5000  4 Bi 2.90, 4 Pd 2.90
Bi: 0.2500 0.2500 0.2500  4 Fe 2.90, 4 Sc 2.90
Bi: 0.2500 0.7500 0.7500  4 Fe 2.90, 4 Sc 2.90
Bi: 0.7500 0.2500 0.7500  4 Fe 2.90, 4 Sc 2.90
Bi: 0.7500 0.7500 0.2500  4 Fe 2.90, 4 Sc 2.90
Pd: 0.2500 0.2500 0.7500  4 Fe 2.90, 4 Sc 2.90
Pd: 0.2500 0.7500 0.2500  4 Fe 2.90, 4 Sc 2.90
Pd: 0.7500 0.2500 0.2500  4 Fe 2.90, 4 Sc 2.90
Pd: 0.7500 0.7500 0.7500  4 Fe 2.90, 4 Sc 2.90

Q: Which formula does entry 1 have?
A: FeBiPb

Copy entry 3 word for word.
A geometry-optimized FeBiPd2 structure. Source: OQMD via LeMat-Bulk, functional GGA-PBE.

Electronic total energy in eV per atom: -5.6561

Cell lengths 6.5066, 6.5066, 6.5066 Å; angles 90.00, 90.00, 90.00 degrees
Closest atoms and distances in Å follow each position.
Sites, in units of the cell vectors:
Fe: 0.0000 0.0000 0.0000  4 Bi 2.82, 4 Pd 2.82
Fe: 0.0000 0.5000 0.5000  4 Bi 2.82, 4 Pd 2.82
Fe: 0.5000 0.0000 0.5000  4 Bi 2.82, 4 Pd 2.82
Fe: 0.5000 0.5000 0.0000  4 Bi 2.82, 4 Pd 2.82
Bi: 0.2500 0.2500 0.7500  4 Fe 2.82, 4 Pd 2.82
Bi: 0.2500 0.7500 0.2500  4 Fe 2.82, 4 Pd 2.82
Bi: 0.7500 0.2500 0.2500  4 Fe 2.82, 4 Pd 2.82
Bi: 0.7500 0.7500 0.7500  4 Fe 2.82, 4 Pd 2.82
Pd: 0.0000 0.0000 0.5000  4 Bi 2.82, 4 Pd 2.82
Pd: 0.0000 0.5000 0.0000  4 Bi 2.82, 4 Pd 2.82
Pd: 0.2500 0.2500 0.2500  4 Pd 2.82, 4 Fe 2.82
Pd: 0.2500 0.7500 0.7500  4 Fe 2.82, 4 Pd 2.82
Pd: 0.5000 0.0000 0.0000  4 Bi 2.82, 4 Pd 2.82
Pd: 0.5000 0.5000 0.5000  4 Bi 2.82, 4 Pd 2.82
Pd: 0.7500 0.2500 0.7500  4 Fe 2.82, 4 Pd 2.82
Pd: 0.7500 0.7500 0.2500  4 Fe 2.82, 4 Pd 2.82